No. 1
Ca2Ga4RhAu3 (PBE, relaxed); electronic total energy = -0.2885 Ry/atom; total moment = 0.00 μB/f.u.; DFT formation energy = -0.5956 eV per atom
1.0
4.158 0.000 0.000
0.000 4.158 0.000
0.000 0.000 11.557
Ca Ga Rh Au
2 4 1 3
Direct
0.500 0.000 0.255
0.000 0.500 0.745
0.500 0.500 0.000
0.000 0.000 0.000
0.500 0.000 0.630
0.000 0.500 0.370
0.500 0.500 0.500
0.000 0.000 0.500
0.500 0.000 0.851
0.000 0.500 0.149


No. 2
Er3MgP2Rh9 (PBE, relaxed); electronic total energy = -0.4924 Ry/atom; total moment = 0.00 μB/f.u.; DFT formation energy = -0.5477 eV per atom
1.0
-1.642 5.931 -0.827
-2.216 -4.393 -3.789
-6.250 -1.051 4.875
Er Mg P Rh
3 1 2 9
Direct
0.333 0.667 0.650
0.000 0.000 0.000
0.667 0.333 0.350
0.000 0.000 0.500
0.333 0.667 0.163
0.667 0.333 0.837
0.833 0.167 0.689
0.833 0.667 0.689
0.333 0.167 0.689
0.667 0.833 0.311
0.167 0.333 0.311
0.167 0.833 0.311
0.500 0.000 0.000
0.000 0.500 0.000
0.500 0.500 0.000


No. 3
Mg4H2Ir3 (PBE, relaxed); electronic total energy = -0.3449 Ry/atom; E above lowest polymorph = 22 meV/atom; total moment = 0.00 μB/f.u.
1.0
4.261 0.003 -1.472
-2.485 3.868 0.004
-0.017 -0.008 7.250
Mg H Ir
4 2 3
Direct
0.056 0.686 0.022
0.202 0.270 0.745
0.350 0.845 0.480
0.498 0.407 0.203
0.864 0.341 0.475
0.687 0.252 0.750
0.904 0.100 0.308
0.776 0.585 0.612
0.649 0.971 0.917


No. 4
PrTmMgSn (PBE, relaxed); electronic total energy = -0.3014 Ry/atom; total moment = 0.00 μB/f.u.; DFT formation energy = -0.3884 eV per atom
1.0
5.366 0.000 0.000
2.683 4.647 0.000
2.683 1.549 4.382
Pr Mg Tm Sn
1 1 1 1
Direct
0.250 0.250 0.250
0.500 0.500 0.500
0.750 0.750 0.750
0.000 0.000 0.000


No. 5
NaAlSiS4 (PBE, relaxed); uncorrected formation energy = -6.69 eV per formula unit; electronic total energy = -0.3536 Ry/atom; total moment = 0.00 μB/f.u.
1.0
6.949 0.153 0.000
-2.652 6.425 0.000
0.000 0.000 7.116
Na Al Si S
2 2 2 8
Direct
0.500 0.500 0.500
0.500 0.500 0.000
0.873 0.127 0.250
0.127 0.873 0.750
0.131 0.869 0.250
0.869 0.131 0.750
0.199 0.219 0.750
0.781 0.801 0.750
0.755 0.245 0.990
0.755 0.245 0.510
0.245 0.755 0.010
0.245 0.755 0.490
0.801 0.781 0.250
0.219 0.199 0.250


No. 6
PmMgGaHg (PBE, relaxed); electronic total energy = -0.2106 Ry/atom; total moment = 0.00 μB/f.u.; DFT formation energy = -0.4472 eV per atom
1.0
-2.674 4.104 1.381
-1.186 0.736 4.894
2.246 3.734 2.629
Mg Hg Ga Pm
1 1 1 1
Direct
0.500 0.500 0.500
0.750 0.750 0.750
0.250 0.250 0.250
0.000 0.000 0.000


No. 7
SrMgCd2Ag4 (PBE, relaxed); electronic total energy = -0.1639 Ry/atom; total moment = 0.00 μB/f.u.; DFT formation energy = -0.1666 eV per atom
1.0
-0.786 -4.644 -0.888
0.080 -3.174 3.590
-9.116 -1.352 2.207
Sr Mg Cd Ag
1 1 2 4
Direct
0.000 0.000 0.000
0.500 0.500 0.500
0.758 0.758 0.726
0.242 0.242 0.274
0.400 0.400 0.800
0.870 0.870 0.390
0.130 0.130 0.610
0.600 0.600 0.200


No. 8
YTiCo2 (PBE, relaxed); electronic total energy = -0.5416 Ry/atom; E above lowest polymorph = 0 meV/atom; total moment = 0.96 μB/f.u.; DFT formation energy = -0.2257 eV per atom
1.0
3.094 0.000 0.000
0.000 3.094 0.000
0.000 0.000 6.612
Y Co Ti
1 2 1
Direct
0.500 0.500 0.500
0.000 0.000 0.796
0.000 0.000 0.204
0.500 0.500 0.000


No. 9
TeIr (PBE, relaxed); uncorrected formation energy = 2.14 eV per formula unit; electronic total energy = -0.3624 Ry/atom; total moment = 0.00 μB/f.u.
1.0
2.504 -4.338 0.000
2.504 4.338 0.000
0.000 0.000 7.814
Te Ir
4 4
Direct
0.000 0.000 0.250
0.000 0.000 0.750
0.333 0.667 0.750
0.667 0.333 0.250
0.333 0.667 0.079
0.667 0.333 0.579
0.667 0.333 0.921
0.333 0.667 0.421


No. 10
TbSm5DyY2 (PBE, relaxed); electronic total energy = -0.3630 Ry/atom; total moment = 0.00 μB/f.u.; DFT formation energy = 0.1449 eV per atom
1.0
5.663 0.000 0.000
-2.831 10.111 0.000
0.000 0.000 10.645
Tb Sm Dy Y
2 10 2 4
Direct
0.799 0.599 0.510
0.201 0.401 0.010
0.391 0.782 0.023
0.719 0.437 0.810
0.480 0.960 0.742
0.298 0.596 0.706
0.982 0.964 0.521
0.609 0.218 0.523
0.281 0.563 0.310
0.520 0.040 0.242
0.702 0.404 0.206
0.018 0.036 0.021
0.589 0.178 0.958
0.411 0.822 0.458
0.885 0.769 0.818
0.111 0.223 0.736
0.115 0.231 0.318
0.889 0.777 0.236


No. 11
MoP2Br (PBE, relaxed); uncorrected formation energy = 1.54 eV per formula unit; electronic total energy = -0.4003 Ry/atom; E above lowest polymorph = 499 meV/atom; total moment = 0.00 μB/f.u.
1.0
6.205 0.000 0.000
0.000 6.205 0.000
3.103 3.103 5.341
P Mo Br
4 2 2
Direct
0.710 0.125 0.250
0.040 0.625 0.250
0.375 0.290 0.750
0.875 0.960 0.750
0.000 0.000 0.000
0.750 0.250 0.500
0.500 0.500 0.000
0.250 0.750 0.500


No. 12
CaUInCl6 (PBE, relaxed); uncorrected formation energy = -15.57 eV per formula unit; electronic total energy = -0.3486 Ry/atom; total moment = 3.00 μB/f.u.
1.0
-5.271 4.460 -2.272
-1.505 -6.961 1.456
-2.751 3.277 12.818
Ca U In Cl
2 2 2 12
Direct
0.333 0.667 0.250
0.667 0.333 0.750
0.667 0.333 0.250
0.333 0.667 0.750
0.000 0.000 0.000
0.000 0.000 0.500
0.630 0.631 0.137
0.000 0.370 0.137
0.370 0.000 0.637
0.000 0.630 0.863
0.369 0.370 0.363
0.000 0.631 0.363
0.631 0.000 0.863
0.630 0.000 0.363
0.000 0.369 0.637
0.369 0.000 0.137
0.631 0.630 0.637
0.370 0.369 0.863


No. 13
Tb3Pr2DyY6 (PBE, relaxed); electronic total energy = -0.4081 Ry/atom; total moment = 0.00 μB/f.u.; DFT formation energy = 0.0166 eV per atom
1.0
6.221 0.001 0.008
-3.108 5.389 0.008
-1.047 -1.814 11.683
Tb Pr Dy Y
3 2 1 6
Direct
0.167 0.833 0.500
0.833 0.167 0.500
0.500 0.500 0.500
0.333 0.667 0.000
0.667 0.333 0.000
0.000 0.000 0.000
0.916 0.583 0.748
0.752 0.752 0.253
0.084 0.417 0.252
0.583 0.916 0.748
0.248 0.248 0.747
0.417 0.084 0.252


No. 14
Ac2UWN6 (PBE, relaxed); uncorrected formation energy = -11.23 eV per formula unit; electronic total energy = -0.6882 Ry/atom; total moment = 0.00 μB/f.u.
1.0
4.161 0.000 0.000
0.000 4.161 0.000
0.000 0.000 8.543
Ac U W N
2 1 1 6
Direct
0.000 0.000 0.729
0.000 0.000 0.271
0.500 0.500 0.000
0.500 0.500 0.500
0.500 0.000 0.000
0.500 0.000 0.500
0.000 0.500 0.000
0.000 0.500 0.500
0.500 0.500 0.736
0.500 0.500 0.264


No. 15
Pu2InPd (PBE, relaxed); electronic total energy = -0.6927 Ry/atom; E above lowest polymorph = 6 meV/atom; total moment = 11.46 μB/f.u.; DFT formation energy = -0.2753 eV per atom
1.0
-3.203 -2.208 -0.591
1.633 -2.922 2.069
-2.473 2.224 5.094
In Pd Pu
1 1 2
Direct
0.500 0.500 0.500
0.500 0.500 0.000
0.000 0.000 0.767
0.000 0.000 0.233


No. 16
Hg2MoAs (PBE, relaxed); electronic total energy = -0.2616 Ry/atom; total moment = 0.00 μB/f.u.; DFT formation energy = 0.4615 eV per atom
1.0
4.749 0.000 0.000
0.000 2.910 -0.006
0.000 1.364 5.673
As Mo Hg
1 1 2
Direct
0.500 0.576 0.721
0.000 0.677 0.519
0.000 0.950 0.993
0.500 0.297 0.267


No. 17
NbAuSN2 (PBE, relaxed); uncorrected formation energy = 8.40 eV per formula unit; electronic total energy = -0.3782 Ry/atom; E above lowest polymorph = 1175 meV/atom; total moment = 0.35 μB/f.u.
1.0
-0.510 -3.297 -2.238
2.924 1.223 -2.468
3.286 -2.357 2.724
Nb Au S N
1 1 1 2
Direct
0.500 0.500 0.500
0.000 0.000 0.000
0.000 0.000 0.500
0.000 0.500 0.000
0.500 0.000 0.000


No. 18
Ca2TaTi (PBE, relaxed); electronic total energy = -0.3484 Ry/atom; E above lowest polymorph = 125 meV/atom; total moment = 2.33 μB/f.u.; DFT formation energy = 1.1978 eV per atom
1.0
-1.313 0.566 -8.286
1.871 -8.153 -0.853
-2.504 -4.474 -4.175
Ca Ti Ta
4 2 2
Direct
0.619 0.125 0.250
0.131 0.625 0.250
0.375 0.381 0.750
0.875 0.869 0.750
0.500 0.500 0.000
0.250 0.750 0.500
0.000 0.000 0.000
0.750 0.250 0.500


No. 19
Na4Tl3Pb (PBE, relaxed); electronic total energy = -0.1539 Ry/atom; E above lowest polymorph = 16 meV/atom; total moment = 0.00 μB/f.u.; DFT formation energy = -0.0830 eV per atom
1.0
4.271 0.000 0.000
0.000 5.241 0.723
-2.135 1.217 10.803
Na Tl Pb
4 3 1
Direct
0.384 0.608 0.768
0.616 0.392 0.232
0.751 0.749 0.502
0.249 0.251 0.498
0.000 0.500 0.000
0.129 0.881 0.257
0.871 0.119 0.743
0.500 0.000 0.000


No. 20
Fe2B2Br (PBE, relaxed); uncorrected formation energy = 3.29 eV per formula unit; electronic total energy = -0.4214 Ry/atom; E above lowest polymorph = 0 meV/atom; total moment = 0.00 μB/f.u.
1.0
3.768 0.000 0.000
0.000 3.768 0.000
1.884 1.884 3.724
B Fe Br
2 2 1
Direct
0.380 0.380 0.240
0.620 0.620 0.760
0.750 0.250 0.500
0.250 0.750 0.500
0.000 0.000 0.000